The following is a DFT calculation (PBE) of a relaxed Dy3Cd2Co crystal.

Lattice parameters (Å, degrees): 5.178 7.055 8.522 90.00 107.78 90.00
Positions (direct):
Dy1 0.032 0.250 0.000
Dy2 0.373 0.000 0.745
Dy3 0.373 0.500 0.745
Dy4 0.627 0.000 0.255
Dy5 0.627 0.500 0.255
Dy6 0.968 0.750 0.000
Cd1 0.198 0.250 0.397
Cd2 0.199 0.750 0.397
Cd3 0.801 0.250 0.603
Cd4 0.802 0.750 0.603
Co1 0.467 0.750 0.000
Co2 0.533 0.250 0.000

=====

The following is a DFT calculation (PBE) of a relaxed Dy11Cd9Co4 crystal.

Lattice parameters (Å, degrees): 12.999 12.999 3.575 90.00 90.00 112.54
Positions (direct):
Dy1 0.000 0.000 0.000
Dy2 0.088 0.419 0.000
Dy3 0.160 0.840 0.000
Dy4 0.312 0.312 0.000
Dy5 0.373 0.627 0.000
Dy6 0.419 0.088 0.000
Dy7 0.581 0.912 0.000
Dy8 0.627 0.373 0.000
Dy9 0.688 0.688 0.000
Dy10 0.840 0.160 0.000
Dy11 0.912 0.581 0.000
Cd1 0.078 0.218 0.500
Cd2 0.156 0.634 0.500
Cd3 0.218 0.078 0.500
Cd4 0.366 0.844 0.500
Cd5 0.500 0.500 0.500
Cd6 0.634 0.156 0.500
Cd7 0.782 0.922 0.500
Cd8 0.844 0.366 0.500
Cd9 0.922 0.782 0.500
Co1 0.255 0.454 0.500
Co2 0.454 0.255 0.500
Co3 0.546 0.745 0.500
Co4 0.745 0.546 0.500

=====

The following is a DFT calculation (PBE) of a relaxed Dy5Cd2Co2 crystal.

Lattice parameters (Å, degrees): 8.990 8.990 7.355 90.00 90.00 47.38
Positions (direct):
Dy1 0.000 0.000 0.000
Dy2 0.068 0.696 0.685
Dy3 0.196 0.568 0.185
Dy4 0.304 0.932 0.685
Dy5 0.432 0.804 0.185
Dy6 0.500 0.500 0.500
Dy7 0.568 0.196 0.815
Dy8 0.696 0.068 0.315
Dy9 0.804 0.432 0.815
Dy10 0.932 0.304 0.315
Cd1 0.225 0.225 0.000
Cd2 0.275 0.275 0.500
Cd3 0.725 0.725 0.500
Cd4 0.775 0.775 0.000
Co1 0.108 0.892 0.388
Co2 0.392 0.608 0.888
Co3 0.608 0.392 0.112
Co4 0.892 0.108 0.612

=====

The following is a DFT calculation (PBE) of a relaxed Dy6CdCo crystal.

Lattice parameters (Å, degrees): 6.767 6.807 7.315 90.33 117.11 119.78
Positions (direct):
Dy1 0.053 0.089 0.261
Dy2 0.297 0.708 0.260
Dy3 0.324 0.534 0.740
Dy4 0.676 0.466 0.260
Dy5 0.703 0.292 0.740
Dy6 0.947 0.911 0.739
Cd1 0.500 0.000 0.000
Co1 0.500 0.500 0.500

=====

Respective energy relative to the elements values: -21.9; -28.5; -21.6; 6.5 kJ/mol of atoms.